A plane-wave DFT calculation with PBE with a Hubbard U was carried out for a relaxed structure of K3MnCr2O8.

Cell and atoms, written as CIF:
```
data_K3MnCr2O8
_chemical_formula_sum 'K3 Mn1 Cr2 O8'
_cell_length_a 5.7965
_cell_length_b 5.7965
_cell_length_c 7.5520
_cell_angle_alpha 90.00
_cell_angle_beta 90.00
_cell_angle_gamma 120.00
_symmetry_space_group_name_H-M 'P -3 m 1'
_symmetry_Int_Tables_number 164
_symmetry_space_group_name_Hall '-P 3 2"'
loop_
_atom_site_label
_atom_site_type_symbol
_atom_site_fract_x
_atom_site_fract_y
_atom_site_fract_z
K1 K 0.0000 0.0000 0.0000
K2 K 0.3333 0.6667 0.6796
Mn1 Mn 0.0000 0.0000 0.5000
Cr1 Cr 0.3333 0.6667 0.2470
O1 O 0.1730 0.3461 0.3268
O2 O 0.3333 0.6667 0.0278
```

Properties
Electronic total energy   -87.98 eV for the cell shown